1.
Computed, not measured: Tc3Rh at its PBEsol-relaxed geometry at the SCAN level of DFT.

Results
SG: No. 194
ΔH_f (0 K): -0.5 eV per formula unit
Spin magnetization: 0.000 μB/atom
Polymorph energy (0 for the lowest one): 0.0030 eV/atom

```
16
Lattice="5.4203 0.0000 0.0000 -2.7102 4.6941 0.0000 0.0000 0.0000 8.6545" Properties=species:S:1:pos:R:3 pbc="T T T"
Tc 2.7102 0.0000 4.3273
Tc 1.3551 2.3471 4.3273
Tc -1.3551 2.3471 0.0000
Tc 1.3850 0.7996 2.1636
Tc -1.3551 2.3471 4.3273
Tc 2.7102 3.0949 2.1636
Tc 0.0000 1.5993 6.4909
Tc 1.3551 2.3471 0.0000
Tc 2.7102 0.0000 0.0000
Tc 4.0353 0.7996 2.1636
Tc -1.3252 3.8945 6.4909
Tc 1.3252 3.8945 6.4909
Rh 2.7102 1.5647 6.4909
Rh 0.0000 0.0000 0.0000
Rh 0.0000 0.0000 4.3273
Rh 0.0000 3.1294 2.1636
```

2.
Computed, not measured: Tc3Rh at its PBEsol-relaxed geometry at the SCAN level of DFT.

Results
SG: No. 12
ΔH_f (0 K): 0.0 eV per formula unit
Spin magnetization: 0.000 μB/atom
Polymorph energy (0 for the lowest one): 0.1154 eV/atom

```
4
Lattice="2.6833 0.0000 0.0000 -1.3416 4.4751 -0.0021 0.0000 -0.8029 4.6046" Properties=species:S:1:pos:R:3 pbc="T T T"
Rh 0.0000 0.0000 0.0000
Tc 1.3416 -0.4014 2.3023
Tc 0.0000 1.6352 3.4380
Tc 1.3416 2.0370 1.1645
```

3.
Computed, not measured: TcRh3 at its PBEsol-relaxed geometry at the SCAN level of DFT.

Results
SG: No. 44
ΔH_f (0 K): -0.3 eV per formula unit
Spin magnetization: 0.000 μB/atom

```
4
Lattice="2.6884 0.0000 0.0000 0.0000 4.6727 0.0000 -1.3442 -2.3364 4.3014" Properties=species:S:1:pos:R:3 pbc="T T T"
Tc 0.0000 3.1151 0.0000
Rh 1.3442 2.3423 2.1320
Rh 1.3442 0.7670 0.0000
Rh 0.0000 0.0059 2.1694
```

4.
Computed, not measured: TcRh3 at its PBEsol-relaxed geometry at the SCAN level of DFT.

Results
SG: No. 194
ΔH_f (0 K): -0.4 eV per formula unit
Spin magnetization: 0.000 μB/atom

```
8
Lattice="-1.1766 3.2771 -2.4917 -3.1842 1.8545 3.9427 5.1401 1.6158 -0.3021" Properties=species:S:1:pos:R:3 pbc="T T T"
Rh 0.3074 3.3107 -1.3090
Rh 0.4720 3.4368 2.4579
Rh -0.5001 1.7121 0.6486
Rh 2.8620 4.1137 -1.4592
Rh -2.0826 2.6338 2.6080
Rh 1.2794 5.0354 0.5003
Tc -1.2919 4.2328 0.6590
Tc 2.0712 2.5147 0.4899
```

5.
Computed, not measured: TcRh3 at its PBEsol-relaxed geometry at the SCAN level of DFT.

Results
SG: No. 47
ΔH_f (0 K): -0.3 eV per formula unit
Spin magnetization: 0.000 μB/atom

```
4
Lattice="2.6628 0.0000 0.0000 0.0000 3.7959 0.0000 0.0000 0.0000 5.3450" Properties=species:S:1:pos:R:3 pbc="T T T"
Rh 1.3314 1.8980 2.6725
Rh 0.0000 0.0000 4.0271
Rh 0.0000 0.0000 1.3179
Tc 1.3314 1.8980 0.0000
```

6.
Computed, not measured: TcRh5 at its PBEsol-relaxed geometry at the SCAN level of DFT.

Results
SG: No. 65
ΔH_f (0 K): -0.4 eV per formula unit
Spin magnetization: 0.000 μB/atom
Polymorph energy (0 for the lowest one): 0.0051 eV/atom

```
6
Lattice="3.7782 0.0000 0.0000 0.0000 3.7881 0.0000 -1.8891 0.0000 5.6533" Properties=species:S:1:pos:R:3 pbc="T T T"
Rh 1.8891 1.8941 1.8720
Rh 1.8891 0.0000 3.8280
Rh 0.0000 0.0000 1.8253
Rh 0.0000 1.8941 0.0000
Rh 0.0000 1.8941 3.7813
Tc 1.8891 0.0000 0.0000
```

In Å³/atom, the calculated volume values for the records above are, in order, 13.76 13.82 13.51 13.50 13.51 13.49.